Record 1
The following is a DFT calculation (PBE) of a relaxed TlOsRu2 crystal.

Unit cell a=2.8641 b=2.8641 c=27.2909 alpha=90.00 beta=90.00 gamma=120.00
Space group R-3m (No. 166, hexagonal axes)
One atom of each set of equivalent atoms:
Tl 0.0000 0.0000 0.0000 [3 per cell]
Os 0.0000 0.0000 0.5000 [3 per cell]
Ru 0.0000 0.0000 0.2432 [6 per cell]

Output
ΔE_f, eV per atom: 0.56
Mass density, Mg/m³: 15.33
Energy above the most stable polymorph in this dataset, kJ/mol of atoms: 14.8
VASP energy, eV/cell: -89.69
Volume, Å³ per cell: 194
Fermi-level density of states, states/eV per atom: 1.517

***

Record 2
The following is a DFT calculation (PBE) of a relaxed PS3F crystal.

Unit cell a=4.355 b=4.355 c=4.355 alpha=90.00 beta=90.00 gamma=90.00
Space group Pm-3m (No. 221)
One atom of each set of equivalent atoms:
P 0.000 0.000 0.000 [1 per cell]
S 0.000 0.500 0.500 [3 per cell]
F 0.500 0.500 0.500 [1 per cell]

Output
Mass density, Mg/m³: 2.94
Energy above the most stable polymorph in this dataset, kJ/mol of atoms: 181.3
VASP energy, eV/cell: -13.59
Volume, Å³ per cell: 83
Fermi-level density of states, states/eV per atom: 1.014

***

Record 3
The following is a DFT calculation (PBE) of a relaxed Ba2ReBr crystal.

Unit cell a=8.064 b=8.064 c=8.064 alpha=90.00 beta=90.00 gamma=90.00
Space group Fm-3m (No. 225)
One atom of each set of equivalent atoms:
Ba 0.250 0.250 0.250 [8 per cell]
Re 0.000 0.000 0.000 [4 per cell]
Br 0.000 0.000 0.500 [4 per cell]

Output
Mass density, Mg/m³: 6.85
Energy above the most stable polymorph in this dataset, kJ/mol of atoms: 26.3
VASP energy, eV/cell: -66.18
Volume, Å³ per cell: 524
Fermi-level density of states, states/eV per atom: 0.369

***

Record 4
The following is a DFT calculation (PBE) of a relaxed CeInHgN crystal.

Unit cell a=4.190 b=4.190 c=10.576 alpha=90.00 beta=90.00 gamma=90.00
Space group P4/nmm (No. 129, origin choice 2)
One atom of each set of equivalent atoms:
Ce 0.250 0.250 0.094 [2 per cell]
In 0.250 0.750 0.500 [2 per cell]
Hg 0.250 0.250 0.729 [2 per cell]
N 0.250 0.750 0.000 [2 per cell]

Output
Mass density, Mg/m³: 8.40
VASP energy, eV/cell: -40.35
Volume, Å³ per cell: 186
Fermi-level density of states, states/eV per atom: 0.676